[1]
VASP calculation (GGA-PBEsol) on AlReSi after structural relaxation.

Summary:
calculated total energy	-7.836	eV per atom
formation energy without anion corrections	-0.34	eV/f.u.

Cell lengths 2.8739, 2.8739, 6.0577 Å; angles 90.00, 90.00, 120.00 degrees
Closest atoms and distances in Å follow each position.
Fractional positions:
Al1 0.0000 0.0000 0.0000  3 Re 2.64, 3 Si 2.72, 6 Al 2.87
Re1 0.3333 0.6667 0.6601  3 Si 2.48, 3 Al 2.64
Si1 0.6667 0.3333 0.3567  3 Re 2.48, 3 Al 2.72

=====

[2]
VASP calculation (GGA-PBEsol) on PPdBrO2 after structural relaxation.

Summary:
calculated total energy	-4.561	eV per atom
formation energy without anion corrections	1.31	eV/f.u.

Cell lengths 3.8123, 3.8123, 5.1517 Å; angles 90.00, 90.00, 90.00 degrees
Closest atoms and distances in Å follow each position.
Fractional positions:
P1 0.0000 0.0000 0.0000  2 Pd 2.58, 4 Br 2.70
Pd1 0.0000 0.0000 0.5000  4 O 1.91
Br1 0.5000 0.5000 0.0000  4 P 2.70
O1 0.0000 0.5000 0.5000  2 Pd 1.91
O2 0.5000 0.0000 0.5000  2 Pd 1.91

=====

[3]
VASP calculation (GGA-PBEsol) on GaPtSe2Br after structural relaxation.

Summary:
calculated total energy	-3.775	eV per atom
formation energy without anion corrections	1.00	eV/f.u.

Cell lengths 4.8927, 4.8927, 5.2115 Å; angles 90.00, 90.00, 90.00 degrees
Closest atoms and distances in Å follow each position.
Fractional positions:
Ga1 0.0000 0.0000 0.0000  4 Br 3.46, 8 Se 3.57
Pt1 0.5000 0.5000 0.5000  4 Se 2.45, 2 Br 2.61
Se1 0.0000 0.5000 0.5000  2 Pt 2.45
Se2 0.5000 0.0000 0.5000  2 Pt 2.45
Br1 0.5000 0.5000 0.0000  2 Pt 2.61

=====

[4]
VASP calculation (GGA-PBEsol) on CsMnPtSe2 after structural relaxation.

Summary:
calculated total energy	-4.417	eV per atom
formation energy without anion corrections	3.28	eV/f.u.

Cell lengths 4.6789, 4.6789, 5.9448 Å; angles 90.00, 90.00, 90.00 degrees
Closest atoms and distances in Å follow each position.
Fractional positions:
Cs1 0.0000 0.0000 0.0000  2 Mn 2.97, 4 Pt 3.31
Mn1 0.0000 0.0000 0.5000  4 Se 2.34
Pt1 0.5000 0.5000 0.0000  4 Cs 3.31
Se1 0.0000 0.5000 0.5000  2 Mn 2.34
Se2 0.5000 0.0000 0.5000  2 Mn 2.34

=====

[5]
VASP calculation (GGA-PBEsol) on Zr2CoHg after structural relaxation.

Summary:
formation energy	-0.13	eV/atom
calculated total energy	-6.750	eV per atom

Cell lengths 3.2077, 4.6027, 9.9104 Å; angles 90.00, 90.00, 90.00 degrees
Closest atoms and distances in Å follow each position.
Fractional positions:
Zr1 0.0000 0.0000 0.0000  2 Co 2.55
Zr2 0.0000 0.5000 0.2096  4 Co 2.81, 2 Hg 3.10, 2 Zr 3.10
Zr3 0.5000 0.0000 0.7096  4 Co 2.81, 2 Hg 3.10, 2 Zr 3.10
Zr4 0.5000 0.5000 0.5000  2 Co 2.55
Co1 0.0000 0.5000 0.6999  6 Zr 2.55-2.81, 2 Hg 2.70
Co2 0.5000 0.0000 0.1999  6 Zr 2.55-2.81, 2 Hg 2.70
Hg1 0.0000 0.0000 0.4185  2 Co 2.70, 4 Zr 2.92
Hg2 0.5000 0.5000 0.9185  2 Co 2.70, 4 Zr 2.92

=====

[6]
VASP calculation (GGA-PBEsol) on RbPt2Se3 after structural relaxation.

Summary:
calculated total energy	-5.041	eV per atom
formation energy without anion corrections	-3.74	eV/f.u.

Cell lengths 7.9108, 7.9108, 7.9108 Å; angles 56.01, 56.01, 56.01 degrees
Closest atoms and distances in Å follow each position.
Fractional positions:
Rb1 0.1996 0.1996 0.1996  3 Pt 3.42, 3 Se 3.53
Rb2 0.8004 0.8004 0.8004  3 Pt 3.42, 3 Se 3.53
Pt1 0.0000 0.0000 0.0000  6 Se 2.52
Pt2 0.0000 0.5000 0.5000  4 Se 2.44
Pt3 0.5000 0.0000 0.5000  4 Se 2.44
Pt4 0.5000 0.5000 0.0000  4 Se 2.44
Se1 0.2321 0.2321 0.7192  3 Pt 2.44-2.52
Se2 0.2321 0.7192 0.2321  3 Pt 2.44-2.52
Se3 0.2808 0.7679 0.7679  3 Pt 2.44-2.52
Se4 0.7192 0.2321 0.2321  3 Pt 2.44-2.52
Se5 0.7679 0.2808 0.7679  3 Pt 2.44-2.52
Se6 0.7679 0.7679 0.2808  3 Pt 2.44-2.52

=====

[7]
VASP calculation (GGA-PBEsol) on MgNbHg2Au after structural relaxation.

Summary:
formation energy	0.80	eV/atom
calculated total energy	-2.722	eV per atom

Cell lengths 5.3236, 5.3236, 4.9904 Å; angles 90.00, 90.00, 90.00 degrees
Closest atoms and distances in Å follow each position.
Fractional positions:
Mg1 0.0000 0.0000 0.0000  8 Hg 3.65, 4 Au 3.76
Nb1 0.5000 0.5000 0.5000  2 Au 2.50, 4 Hg 2.66
Hg1 0.0000 0.5000 0.5000  2 Nb 2.66
Hg2 0.5000 0.0000 0.5000  2 Nb 2.66
Au1 0.5000 0.5000 0.0000  2 Nb 2.50

=====

[8]
VASP calculation (GGA-PBEsol) on CrFeMo2 after structural relaxation.

Summary:
formation energy	0.38	eV/atom
calculated total energy	-10.309	eV per atom
offset from the most stable computed form	254	meV/atom

Cell lengths 2.6371, 2.6371, 26.3343 Å; angles 90.00, 90.00, 120.00 degrees
Closest atoms and distances in Å follow each position.
Fractional positions:
Cr1 0.0000 0.0000 0.0000  3 Fe 2.37, 6 Cr 2.64
Cr2 0.3333 0.6667 0.6667  3 Fe 2.37, 6 Cr 2.64
Cr3 0.6667 0.3333 0.3333  3 Fe 2.37, 6 Cr 2.64
Fe1 0.0000 0.0000 0.7357  3 Cr 2.37, 6 Fe 2.64, 3 Mo 2.65
Fe2 0.3333 0.6667 0.4024  3 Cr 2.37, 6 Fe 2.64, 3 Mo 2.65
Fe3 0.6667 0.3333 0.0691  3 Cr 2.37, 6 Fe 2.64, 3 Mo 2.65
Mo1 0.0000 0.0000 0.2468  9 Mo 2.64-2.94, 3 Cr 2.74
Mo2 0.0000 0.0000 0.4846  9 Mo 2.64-2.94, 3 Fe 2.65
Mo3 0.3333 0.6667 0.1513  9 Mo 2.64-2.94, 3 Fe 2.65
Mo4 0.3333 0.6667 0.9134  9 Mo 2.64-2.94, 3 Cr 2.74
Mo5 0.6667 0.3333 0.5801  9 Mo 2.64-2.94, 3 Cr 2.74
Mo6 0.6667 0.3333 0.8179  9 Mo 2.64-2.94, 3 Fe 2.65